The following is a DFT calculation (PBE-GGA) of a relaxed PmY2Tm5 crystal.

Structure (CIF):
```
data_PmY2Tm5
_chemical_formula_sum 'Pm2 Y4 Tm10'
_cell_length_a 11.4184
_cell_length_b 9.7501
_cell_length_c 10.3538
_cell_angle_alpha 57.87
_cell_angle_beta 146.20
_cell_angle_gamma 127.67
_symmetry_space_group_name_H-M 'P 1'
_symmetry_Int_Tables_number 1
loop_
_symmetry_equiv_pos_as_xyz
'x,y,z'
loop_
_atom_site_label
_atom_site_fract_x
_atom_site_fract_y
_atom_site_fract_z
_atom_site_occupancy
Tm1 0.4745 0.1826 0.4622 1
Tm2 0.1542 0.0558 0.5004 1
Tm3 0.5255 0.8174 0.5378 1
Tm4 0.3227 0.8111 0.9996 1
Y1 0.8980 0.6133 0.1290 1
Y2 0.7008 0.6283 0.2697 1
Y3 0.1020 0.3867 0.8710 1
Tm5 0.6969 0.2438 0.3310 1
Tm6 0.8585 0.0024 0.0066 1
Y4 0.2992 0.3717 0.7303 1
Tm7 0.6773 0.1889 0.0004 1
Tm8 0.1415 0.9976 0.9934 1
Pm1 0.7863 0.5490 0.7200 1
Tm9 0.3031 0.7562 0.6690 1
Pm2 0.2137 0.4510 0.2800 1
Tm10 0.8458 0.9442 0.4996 1
```

Output
Calculated density (Mg/m³): 7.65
Magnetization (μB/f.u.): 0.000
Energy of formation from the pure elements (meV/atom): 118